Ca2LaSbAu: optimized geometry, GGA-PBE.

## Properties
Its density is 5.1 Mg/m³. The uncorrected formation energy is -485.5 meV per atom. The value obtained for the density of states at the Fermi level is 6.23 states/eV/f.u. As for the uncorrected energy: -0.13787 Ha/atom. Its volume is 35.25 Å³/atom.

Lattice parameters (Å, degrees): 5.5611 5.5611 5.6984 90.00 90.00 90.00
Closest atoms and distances in Å follow each position.
Space group P4/mmm (No. 123)
Symmetry-distinct sites (fractional):
Ca: 0.0000 0.5000 0.0000 x2  2 Au 2.78
La: 0.0000 0.0000 0.5000 x1  2 Au 2.85
Sb: 0.5000 0.5000 0.5000 x1  4 La 3.93, 8 Ca 3.98
Au: 0.0000 0.0000 0.0000 x1  4 Ca 2.78, 2 La 2.85

***

CaLaSiAu: optimized geometry, GGA-PBE.

## Properties
Its density is 6.6 Mg/m³. The uncorrected formation energy is -671.4 meV per atom. The value obtained for the density of states at the Fermi level is 1.56 states/eV/f.u. As for the uncorrected energy: -0.16827 Ha/atom. Its volume is 25.26 Å³/atom.

Lattice parameters (Å, degrees): 7.3931 7.3931 7.3931 90.00 90.00 90.00
Closest atoms and distances in Å follow each position.
Space group F-43m (No. 216)
Symmetry-distinct sites (fractional):
Ca: 0.0000 0.0000 0.0000 x4  4 Si 3.20, 4 Au 3.20
La: 0.0000 0.0000 0.5000 x4  4 Si 3.20, 4 Au 3.20
Si: 0.2500 0.2500 0.2500 x4  4 La 3.20, 4 Ca 3.20
Au: 0.2500 0.2500 0.7500 x4  4 La 3.20, 4 Ca 3.20

***

SrCa2LaAu4: optimized geometry, GGA-PBE.

## Properties
Its density is 8.7 Mg/m³. The value obtained for the density of states at the Fermi level is 4.97 states/eV/f.u. As for the uncorrected energy: -0.13793 Ha/atom. Its volume is 26.02 Å³/atom. Its formation energy is -0.7881 eV per atom.

Lattice parameters (Å, degrees): 5.2835 5.2835 25.8337 90.00 90.00 120.00
Closest atoms and distances in Å follow each position.
Space group R-3m (No. 166, hexagonal axes)
Symmetry-distinct sites (fractional):
Sr: 0.0000 0.0000 0.0000 x3  8 Au 3.27-3.35
Ca: 0.0000 0.0000 0.2516 x6  8 Au 3.15-3.29
La: 0.0000 0.0000 0.5000 x3  8 Au 3.13-3.20
Au: 0.0000 0.0000 0.1295 x6  4 Ca 3.15-3.29, 3 La 3.20, 1 Sr 3.35
Au: 0.0000 0.0000 0.3787 x6  1 La 3.13, 4 Ca 3.19-3.28, 3 Sr 3.27

***

SrCaLa2Au: optimized geometry, GGA-PBE.

## Properties
Its density is 4.8 Mg/m³. The value obtained for the density of states at the Fermi level is 7.01 states/eV/f.u. As for the uncorrected energy: -0.13082 Ha/atom. Its volume is 41.55 Å³/atom. Its formation energy is -0.1968 eV per atom.

Lattice parameters (Å, degrees): 5.9259 5.9259 5.9154 90.00 90.00 90.00
Closest atoms and distances in Å follow each position.
Space group P4/mmm (No. 123)
Symmetry-distinct sites (fractional):
Sr: 0.0000 0.0000 0.0000 x1  8 La 4.19, 4 Ca 4.19
Ca: 0.5000 0.5000 0.0000 x1  2 Au 2.96
La: 0.0000 0.5000 0.5000 x2  2 Au 2.96
Au: 0.5000 0.5000 0.5000 x1  2 Ca 2.96, 4 La 2.96

***

Ca2LaTaAu: optimized geometry, GGA-PBE.

## Properties
Its density is 6.1 Mg/m³. The value obtained for the density of states at the Fermi level is 3.50 states/eV/f.u. As for the uncorrected energy: -0.15134 Ha/atom. Its volume is 32.32 Å³/atom. Its formation energy is 0.6941 eV per atom.

Lattice parameters (Å, degrees): 5.6145 5.6145 5.1273 90.00 90.00 90.00
Closest atoms and distances in Å follow each position.
Space group P4/mmm (No. 123)
Symmetry-distinct sites (fractional):
Ca: 0.0000 0.5000 0.0000 x2  2 Ta 2.81
La: 0.0000 0.0000 0.5000 x1  8 Ca 3.80, 4 Au 3.97
Ta: 0.5000 0.5000 0.0000 x1  2 Au 2.56, 4 Ca 2.81
Au: 0.5000 0.5000 0.5000 x1  2 Ta 2.56

***

Ca2LaThAu4: optimized geometry, GGA-PBE.

## Properties
Its density is 10.2 Mg/m³. The value obtained for the density of states at the Fermi level is 4.74 states/eV/f.u. As for the uncorrected energy: -0.16324 Ha/atom. Its volume is 25.28 Å³/atom. Its formation energy is -0.7596 eV per atom.

Lattice parameters (Å, degrees): 5.2252 5.2252 25.6638 90.00 90.00 120.00
Closest atoms and distances in Å follow each position.
Space group R-3m (No. 166, hexagonal axes)
Symmetry-distinct sites (fractional):
Ca: 0.0000 0.0000 0.2485 x6  8 Au 3.13-3.26
La: 0.0000 0.0000 0.5000 x3  8 Au 3.23-3.32
Th: 0.0000 0.0000 0.0000 x3  8 Au 3.13-3.16
Au: 0.0000 0.0000 0.1218 x6  1 Th 3.13, 4 Ca 3.16-3.25, 3 La 3.23
Au: 0.0000 0.0000 0.3705 x6  4 Ca 3.13-3.26, 3 Th 3.16, 1 La 3.32

***

CaLaTm2Au4: optimized geometry, GGA-PBE.

## Properties
Its density is 11.3 Mg/m³. The value obtained for the density of states at the Fermi level is 5.51 states/eV/f.u. As for the uncorrected energy: -0.16285 Ha/atom. Its volume is 24.06 Å³/atom. Its formation energy is -0.8086 eV per atom.

Lattice parameters (Å, degrees): 5.0515 5.0515 26.1328 90.00 90.00 120.00
Closest atoms and distances in Å follow each position.
Space group R-3m (No. 166, hexagonal axes)
Symmetry-distinct sites (fractional):
Ca: 0.0000 0.0000 0.0000 x3  8 Au 3.02-3.14
La: 0.0000 0.0000 0.5000 x3  8 Au 3.19-3.21
Tm: 0.0000 0.0000 0.2554 x6  7 Au 3.04-3.20
Au: 0.0000 0.0000 0.1156 x6  1 Ca 3.02, 3 Tm 3.08, 3 La 3.21
Au: 0.0000 0.0000 0.3780 x6  4 Tm 3.04-3.20, 3 Ca 3.14, 1 La 3.19

***

Li3CaAu: optimized geometry, GGA-PBE.

## Properties
Its density is 3.6 Mg/m³. The value obtained for the density of states at the Fermi level is 2.60 states/eV/f.u. As for the uncorrected energy: -0.08830 Ha/atom. Its volume is 24.11 Å³/atom. Its formation energy is -0.1987 eV per atom. The relative energy among the computed polymorphs comes out at 130 meV per atom.

Lattice parameters (Å, degrees): 4.9398 4.9398 4.9398 90.00 90.00 90.00
Closest atoms and distances in Å follow each position.
Space group Pm-3m (No. 221)
Symmetry-distinct sites (fractional):
Li: 0.0000 0.0000 0.5000 x3  2 Au 2.47
Ca: 0.5000 0.5000 0.5000 x1  12 Li 3.49
Au: 0.0000 0.0000 0.0000 x1  6 Li 2.47